Entry 1:
{"formula": "RbCd6Hg4", "functional": "PBE", "state": "optimized geometry", "delta_e_f_ev_per_atom": -0.07, "total_magnetization_mub_per_atom": 0.00, "n_ef_per_ev_cell": 2.54, "lattice_angstrom": [[-2.002, -3.283, -2.746], [2.555, -6.055, 5.377], [-7.561, 3.715, 1.071]], "species": ["Cd", "Hg", "Cd", "Cd", "Hg", "Rb", "Hg", "Cd", "Cd", "Cd", "Hg"], "fractional_positions": [[0.000, 0.923, 0.462], [0.500, 0.803, 0.197], [0.000, 0.538, 0.462], [0.500, 0.592, 0.796], [0.500, 0.393, 0.197], [0.000, 0.000, 0.000], [0.000, 0.333, 0.667], [0.000, 0.538, 0.077], [0.500, 0.204, 0.796], [0.500, 0.204, 0.408], [0.500, 0.803, 0.607]]}

---

Entry 2:
{"formula": "CoSiAg2", "functional": "PBE", "state": "optimized geometry", "total_magnetization_mub_per_atom": 0.27, "e_form_raw_ev_per_atom": 0.328, "n_ef_per_ev_cell": 2.71, "lattice_angstrom": [[-2.777, 1.774, 3.131], [-0.723, -5.356, -0.857], [1.430, -1.218, 2.058]], "species": ["Co", "Si", "Ag", "Ag"], "fractional_positions": [[0.000, 0.500, 0.500], [0.500, 0.500, 0.000], [0.000, 0.000, 0.000], [0.500, 0.000, 0.500]]}

---

Entry 3:
{"formula": "NaSr3Pt", "functional": "PBE", "state": "optimized geometry", "delta_e_f_ev_per_atom": 0.65, "total_magnetization_mub_per_atom": 0.00, "n_ef_per_ev_cell": 3.61, "e_above_lowest_polymorph_ev_per_atom": 1.090, "lattice_angstrom": [[6.026, 0.000, 0.000], [0.000, 6.026, 0.000], [0.000, 0.000, 6.026]], "species": ["Sr", "Sr", "Sr", "Na", "Pt"], "fractional_positions": [[0.000, 0.500, 0.000], [0.000, 0.000, 0.500], [0.500, 0.000, 0.000], [0.000, 0.000, 0.000], [0.500, 0.500, 0.500]]}

---

Entry 4:
{"formula": "AsOs2PtS", "functional": "PBE", "state": "optimized geometry", "total_magnetization_mub_per_atom": 0.00, "e_form_raw_ev_per_atom": 1.825, "n_ef_per_ev_cell": 6.93, "lattice_angstrom": [[4.557, 0.000, 0.000], [0.000, 4.536, 0.000], [0.000, 0.000, 4.557]], "species": ["Os", "Os", "Pt", "As", "S"], "fractional_positions": [[0.000, 0.000, 0.500], [0.500, 0.000, 0.000], [0.500, 0.500, 0.500], [0.000, 0.000, 0.000], [0.000, 0.500, 0.000]]}

---

Entry 5:
{"formula": "Hg2AsW", "functional": "PBE", "state": "optimized geometry", "delta_e_f_ev_per_atom": 0.78, "total_magnetization_mub_per_atom": 0.00, "n_ef_per_ev_cell": 2.76, "lattice_angstrom": [[5.435, 0.009, 0.000], [-2.389, 4.882, 0.000], [0.000, 0.000, 2.907]], "species": ["Hg", "As", "W", "Hg"], "fractional_positions": [[0.000, 0.000, 0.000], [0.000, 0.500, 0.500], [0.500, 0.000, 0.500], [0.500, 0.500, 0.000]]}

---

Entry 6:
{"formula": "Ho2MgSn", "functional": "PBE", "state": "optimized geometry", "delta_e_f_ev_per_atom": 0.06, "total_magnetization_mub_per_atom": 0.00, "n_ef_per_ev_cell": 4.12, "lattice_angstrom": [[-1.644, -1.434, 2.669], [0.735, -3.234, 0.941], [7.830, 2.365, 8.321]], "species": ["Sn", "Ho", "Ho", "Mg"], "fractional_positions": [[0.000, 0.000, 0.000], [0.090, 0.090, 0.729], [0.910, 0.910, 0.271], [0.500, 0.500, 0.500]]}

---

Entry 7:
{"formula": "Cs6HgPt", "functional": "PBE", "state": "optimized geometry", "delta_e_f_ev_per_atom": -0.07, "total_magnetization_mub_per_atom": 0.00, "n_ef_per_ev_cell": 6.08, "lattice_angstrom": [[7.454, -8.215, 0.000], [7.454, 8.215, 0.000], [0.000, 0.000, 4.910]], "species": ["Cs", "Hg", "Pt", "Cs", "Cs", "Cs", "Cs", "Cs"], "fractional_positions": [[0.668, 0.941, 0.500], [0.841, 0.159, 0.000], [0.753, 0.247, 0.500], [0.501, 0.226, 0.000], [0.059, 0.332, 0.500], [0.061, 0.939, 0.500], [0.343, 0.657, 0.000], [0.774, 0.499, 0.000]]}

---

Entry 8:
{"formula": "VSn2Br", "functional": "PBE", "state": "optimized geometry", "total_magnetization_mub_per_atom": 0.60, "e_form_raw_ev_per_atom": 0.588, "n_ef_per_ev_cell": 10.27, "e_above_lowest_polymorph_ev_per_atom": 0.036, "lattice_angstrom": [[5.529, 0.000, 0.000], [0.000, 5.529, 0.000], [2.765, 2.765, 8.630]], "species": ["V", "Br", "Br", "Sn", "Sn", "Sn", "V", "Sn"], "fractional_positions": [[0.500, 0.500, 0.000], [0.000, 0.000, 0.000], [0.750, 0.250, 0.500], [0.526, 0.125, 0.250], [0.375, 0.474, 0.750], [0.224, 0.625, 0.250], [0.250, 0.750, 0.500], [0.875, 0.776, 0.750]]}